1.
The following is a DFT calculation (PBE) of a geometry-optimized CaBr2O structure.

a b c (Å): 9.100 9.100 9.100
angles (deg): 145.71 145.71 49.28
Fractional coordinates of all 8 atoms:
1 Ca 0.000 0.000 0.000
2 Ca 0.750 0.250 0.500
3 Br 0.135 0.625 0.010
4 Br 0.375 0.385 0.510
5 Br 0.615 0.125 0.990
6 Br 0.875 0.865 0.490
7 O 0.250 0.750 0.500
8 O 0.500 0.500 0.000

Results
uncorrected formation energy = -0.69 eV per atom

=====

2.
The following is a DFT calculation (PBE) of a geometry-optimized CaPBrO2 structure.

a b c (Å): 4.274 4.274 7.113
angles (deg): 90.00 90.00 90.00
Fractional coordinates of all 5 atoms:
1 Ca 0.000 0.000 0.000
2 P 0.000 0.000 0.500
3 Br 0.500 0.500 0.500
4 O 0.000 0.500 0.000
5 O 0.500 0.000 0.000

Results
uncorrected formation energy = -0.02 eV per atom

=====

3.
The following is a DFT calculation (PBE) of a geometry-optimized CaPBrO2 structure.

a b c (Å): 4.195 4.195 4.765
angles (deg): 90.00 90.00 90.00
Fractional coordinates of all 5 atoms:
1 Ca 0.000 0.000 0.000
2 P 0.500 0.500 0.000
3 Br 0.500 0.500 0.500
4 O 0.000 0.500 0.500
5 O 0.500 0.000 0.500

Results
uncorrected formation energy = -0.05 eV per atom

=====

4.
The following is a DFT calculation (PBE) of a geometry-optimized Ca2PbBr2O2 structure.

a b c (Å): 8.282 8.282 8.282
angles (deg): 147.30 147.30 46.92
Fractional coordinates of all 7 atoms:
1 Ca 0.104 0.104 0.000
2 Ca 0.896 0.896 0.000
3 Pb 0.500 0.500 0.000
4 Br 0.299 0.299 0.000
5 Br 0.701 0.701 0.000
6 O 0.000 0.500 0.500
7 O 0.500 0.000 0.500

Results
uncorrected formation energy = -1.59 eV per atom

=====

Please write out number 1 again, unchanged.
The following is a DFT calculation (PBE) of a geometry-optimized CaBr2O structure.

a b c (Å): 9.100 9.100 9.100
angles (deg): 145.71 145.71 49.28
Fractional coordinates of all 8 atoms:
1 Ca 0.000 0.000 0.000
2 Ca 0.750 0.250 0.500
3 Br 0.135 0.625 0.010
4 Br 0.375 0.385 0.510
5 Br 0.615 0.125 0.990
6 Br 0.875 0.865 0.490
7 O 0.250 0.750 0.500
8 O 0.500 0.500 0.000

Results
uncorrected formation energy = -0.69 eV per atom

=====

Which of these has the lowest uncorrected formation energy?
Ca2PbBr2O2

=====

The lowest uncorrected formation energy belongs to which entry?
Ca2PbBr2O2

=====

The lowest uncorrected formation energy belongs to which entry?
Ca2PbBr2O2